No. 1
# CeScZnHg (PBE, relaxed)
# - Energy relative to the elements: -264 meV per atom
# - Total energy: -3.724 eV per atom
data_CeScZnHg
_chemical_formula_sum 'Ce4 Sc4 Zn4 Hg4'
_symmetry_space_group_name_H-M 'F -4 3 m'
_symmetry_Int_Tables_number 216
_symmetry_space_group_name_Hall 'F -4 2 3'
_cell_length_a 7.2274
_cell_length_b 7.2274
_cell_length_c 7.2274
_cell_angle_alpha 90.00
_cell_angle_beta 90.00
_cell_angle_gamma 90.00
loop_
_atom_site_label
_atom_site_fract_x
_atom_site_fract_y
_atom_site_fract_z
_atom_site_occupancy
Ce1 0.0000 0.0000 0.0000 1
Sc1 0.0000 0.0000 0.5000 1
Zn1 0.2500 0.2500 0.7500 1
Hg1 0.2500 0.2500 0.2500 1



No. 2
# In2IrN (PBE, relaxed)
# - E_form (uncorrected): 0.574 eV/atom
# - Total energy: -5.092 eV per atom
data_In2IrN
_chemical_formula_sum 'In8 Ir4 N4'
_symmetry_space_group_name_H-M 'I -4 2 d'
_symmetry_Int_Tables_number 122
_symmetry_space_group_name_Hall 'I -4 2bw'
_cell_length_a 6.2739
_cell_length_b 6.2739
_cell_length_c 7.5100
_cell_angle_alpha 90.00
_cell_angle_beta 90.00
_cell_angle_gamma 90.00
loop_
_atom_site_label
_atom_site_fract_x
_atom_site_fract_y
_atom_site_fract_z
_atom_site_occupancy
In1 0.1862 0.2500 0.1250 1
Ir1 0.0000 0.0000 0.5000 1
N1 0.0000 0.0000 0.0000 1



No. 3
# Tl3In2Sn (PBE, relaxed)
# - Energy relative to the elements: 100 meV per atom
# - Total energy: -2.663 eV per atom
data_Tl3In2Sn
_chemical_formula_sum 'Tl18 In12 Sn6'
_symmetry_space_group_name_H-M 'R -3 m'
_symmetry_Int_Tables_number 166
_symmetry_space_group_name_Hall '-R 3 2"'
_cell_length_a 10.7080
_cell_length_b 10.7080
_cell_length_c 11.7265
_cell_angle_alpha 90.00
_cell_angle_beta 90.00
_cell_angle_gamma 120.00
loop_
_atom_site_label
_atom_site_fract_x
_atom_site_fract_y
_atom_site_fract_z
_atom_site_occupancy
Tl1 0.0016 0.5008 0.2657 1
In1 0.0000 0.0000 0.0000 1
In2 0.0000 0.5000 0.0000 1
Sn1 0.0000 0.0000 0.2627 1